Material: AlSn2Te
Method: DFT, PBE
State: relaxed

Cell lengths 8.1504, 8.1504, 8.1504 Å; angles 132.77, 132.77, 69.01 degrees
Closest atoms and distances in Å follow each position.
Sites, in units of the cell vectors:
Al 0.0000 0.0000 0.0000  4 Sn 2.70
Al 0.7500 0.2500 0.5000  4 Sn 2.70
Sn 0.0823 0.6250 0.9573  2 Al 2.70, 2 Te 3.02
Sn 0.3750 0.3323 0.4573  2 Al 2.70, 2 Te 3.02
Sn 0.6677 0.1250 0.0427  2 Al 2.70, 2 Te 3.02
Sn 0.8750 0.9177 0.5427  2 Al 2.70, 2 Te 3.02
Te 0.2500 0.7500 0.5000  4 Sn 3.02
Te 0.5000 0.5000 0.0000  4 Sn 3.02

Values from the calculation:
As for the formation energy (no corrections): 0.130 eV/atom. The calculation puts the polymorph energy (0 for the lowest one) at 0.0 kJ/mol of atoms. The calculation puts the density of states at the Fermi level at 7.64 states/eV/cell.

=====

Material: AlSnTe
Method: DFT, PBE
State: relaxed

Cell lengths 5.0616, 4.1918, 4.1918 Å; angles 84.82, 90.00, 90.00 degrees
Closest atoms and distances in Å follow each position.
Sites, in units of the cell vectors:
Al 0.0000 0.0000 0.0000  3 Te 2.69-2.86, 2 Sn 2.79
Sn 0.5000 0.1888 0.1888  2 Al 2.79
Te 0.0000 0.5660 0.5660  3 Al 2.69-2.86

Values from the calculation:
As for the formation energy (no corrections): 0.132 eV/atom. The calculation puts the density of states at the Fermi level at 1.50 states/eV/cell.

=====

Material: AlTl2SnTe4
Method: DFT, PBE
State: relaxed

Cell lengths 7.0821, 7.0821, 7.0821 Å; angles 105.15, 105.15, 118.52 degrees
Closest atoms and distances in Å follow each position.
Sites, in units of the cell vectors:
Al 0.0000 0.0000 0.0000  4 Te 2.68
Tl 0.0000 0.5000 0.5000  8 Te 3.55-3.76, 2 Tl 3.62
Tl 0.5000 0.0000 0.5000  8 Te 3.55-3.76, 2 Tl 3.62
Sn 0.5000 0.5000 0.0000  4 Te 2.95
Te 0.0441 0.3977 0.0000  1 Al 2.68, 1 Sn 2.95
Te 0.3977 0.0441 0.0000  1 Al 2.68, 1 Sn 2.95
Te 0.6023 0.6023 0.6465  1 Al 2.68, 1 Sn 2.95
Te 0.9559 0.9559 0.3535  1 Al 2.68, 1 Sn 2.95

Values from the calculation:
As for the formation energy (no corrections): -0.325 eV/atom. The calculation puts the density of states at the Fermi level at 3.77 states/eV/cell.

=====

Material: AlTlSnTe3
Method: DFT, PBE
State: relaxed

Cell lengths 9.6277, 4.4709, 10.4839 Å; angles 90.00, 105.35, 90.00 degrees
Closest atoms and distances in Å follow each position.
Sites, in units of the cell vectors:
Al 0.0781 0.2500 0.1264  4 Te 2.57-2.76
Al 0.9219 0.7500 0.8736  4 Te 2.57-2.76
Tl 0.2174 0.2500 0.7214  5 Te 3.32-3.61
Tl 0.7826 0.7500 0.2786  5 Te 3.32-3.61
Sn 0.3364 0.7500 0.3842  5 Te 2.95-3.26
Sn 0.6636 0.2500 0.6158  5 Te 2.95-3.26
Te 0.0867 0.2500 0.3731  1 Al 2.57
Te 0.1917 0.7500 0.0375  3 Al 2.71-2.76
Te 0.4538 0.7500 0.6738  3 Sn 2.95-3.18
Te 0.5462 0.2500 0.3262  3 Sn 2.95-3.18
Te 0.8083 0.2500 0.9625  3 Al 2.71-2.76
Te 0.9133 0.7500 0.6269  1 Al 2.57

Values from the calculation:
As for the formation energy (no corrections): -0.334 eV/atom. The calculation puts the density of states at the Fermi level at 2.46 states/eV/cell.

=====

Material: AlTlSn2Te
Method: DFT, PBE
State: relaxed

Cell lengths 5.3539, 5.3539, 5.5691 Å; angles 90.00, 90.00, 90.00 degrees
Closest atoms and distances in Å follow each position.
Sites, in units of the cell vectors:
Al 0.0000 0.0000 0.0000  4 Sn 2.68, 2 Te 2.78
Tl 0.5000 0.5000 0.5000  4 Te 3.79, 8 Sn 3.86
Sn 0.0000 0.5000 0.0000  2 Al 2.68
Sn 0.5000 0.0000 0.0000  2 Al 2.68
Te 0.0000 0.0000 0.5000  2 Al 2.78

Values from the calculation:
As for the formation energy (no corrections): 0.213 eV/atom. The calculation puts the density of states at the Fermi level at 2.81 states/eV/cell.

=====

Material: ThAlSn
Method: DFT, PBE
State: relaxed

Cell lengths 5.4109, 5.4109, 5.4109 Å; angles 133.25, 133.25, 68.26 degrees
Closest atoms and distances in Å follow each position.
Sites, in units of the cell vectors:
Th 0.0000 0.0000 0.0000  5 Al 3.11-3.33, 5 Sn 3.12-3.33
Al 0.3467 0.3467 0.0000  1 Sn 2.74
Sn 0.6521 0.6521 0.0000  1 Al 2.74

Values from the calculation:
Its formation energy is -0.07 eV/atom. The calculation puts the density of states at the Fermi level at 2.18 states/eV/cell.

=====

Material: ThAlSn
Method: DFT, PBE
State: relaxed

Cell lengths 4.6647, 4.6647, 4.0488 Å; angles 90.00, 90.00, 120.00 degrees
Closest atoms and distances in Å follow each position.
Sites, in units of the cell vectors:
Th 0.0000 0.0000 0.0000  6 Al 3.37, 6 Sn 3.37
Al 0.3333 0.6667 0.5000  3 Sn 2.69
Sn 0.6667 0.3333 0.5000  3 Al 2.69

Values from the calculation:
Its formation energy is -0.36 eV/atom. The calculation puts the density of states at the Fermi level at 2.44 states/eV/cell.

=====

Material: Th2AlSn
Method: DFT, PBE
State: relaxed

Cell lengths 3.4619, 3.4619, 9.0233 Å; angles 90.00, 90.00, 90.00 degrees
Closest atoms and distances in Å follow each position.
Sites, in units of the cell vectors:
Th 0.0000 0.0000 0.2335  4 Al 3.23, 4 Sn 3.43, 4 Th 3.46
Th 0.0000 0.0000 0.7665  4 Al 3.23, 4 Sn 3.43, 4 Th 3.46
Al 0.5000 0.5000 0.0000  8 Th 3.23, 4 Al 3.46
Sn 0.5000 0.5000 0.5000  8 Th 3.43, 4 Sn 3.46

Values from the calculation:
The calculation puts the polymorph energy (0 for the lowest one) at 7.3 kJ/mol of atoms. Its formation energy is -0.38 eV/atom. The calculation puts the density of states at the Fermi level at 2.66 states/eV/cell.

=====

Material: Th2AlSn4
Method: DFT, PBE
State: relaxed

Cell lengths 4.4496, 4.4496, 9.9642 Å; angles 90.00, 90.00, 90.00 degrees
Closest atoms and distances in Å follow each position.
Sites, in units of the cell vectors:
Th 0.0000 0.5000 0.2460  8 Sn 3.26-3.37, 2 Al 3.31
Th 0.5000 0.0000 0.7540  8 Sn 3.26-3.37, 2 Al 3.31
Al 0.5000 0.5000 0.0000  4 Sn 2.74
Sn 0.0000 0.0000 0.5000  4 Sn 3.15, 4 Th 3.37
Sn 0.0000 0.5000 0.8390  2 Al 2.74
Sn 0.5000 0.0000 0.1610  2 Al 2.74
Sn 0.5000 0.5000 0.5000  4 Sn 3.15, 4 Th 3.37

Values from the calculation:
Its formation energy is -0.37 eV/atom. The calculation puts the density of states at the Fermi level at 2.50 states/eV/cell.

=====

Material: ThAl4Sn
Method: DFT, PBE
State: relaxed

Cell lengths 5.6258, 5.6258, 5.6258 Å; angles 60.00, 60.00, 60.00 degrees
Closest atoms and distances in Å follow each position.
Sites, in units of the cell vectors:
Th 0.0000 0.0000 0.0000  12 Al 3.30, 4 Sn 3.45
Al 0.3756 0.3756 0.3756  6 Al 2.80-2.83
Al 0.3756 0.3756 0.8734  6 Al 2.80-2.83
Al 0.3756 0.8734 0.3756  6 Al 2.80-2.83
Al 0.8734 0.3756 0.3756  6 Al 2.80-2.83
Sn 0.7500 0.7500 0.7500  12 Al 3.30, 4 Th 3.45

Values from the calculation:
Its formation energy is -0.17 eV/atom. The calculation puts the density of states at the Fermi level at 4.51 states/eV/cell.

=====

Material: Th3AlSn2
Method: DFT, PBE
State: relaxed

Cell lengths 12.8093, 4.4594, 12.1497 Å; angles 90.00, 90.00, 90.00 degrees
Closest atoms and distances in Å follow each position.
Sites, in units of the cell vectors:
Th 0.0483 0.2500 0.1177  5 Sn 3.21-3.41, 1 Al 3.24
Th 0.1184 0.7500 0.5600  3 Al 3.20-3.27, 5 Sn 3.25-3.38
Th 0.2212 0.2500 0.7831  2 Al 3.14, 4 Sn 3.20-3.47
Th 0.2788 0.7500 0.2831  2 Al 3.14, 4 Sn 3.20-3.47
Th 0.3816 0.2500 0.0600  3 Al 3.20-3.27, 5 Sn 3.25-3.38
Th 0.4517 0.7500 0.6177  5 Sn 3.21-3.41, 1 Al 3.24
Th 0.5483 0.2500 0.3823  5 Sn 3.21-3.41, 1 Al 3.24
Th 0.6184 0.7500 0.9400  3 Al 3.20-3.27, 5 Sn 3.25-3.38
Th 0.7212 0.2500 0.7169  2 Al 3.14, 4 Sn 3.20-3.47
Th 0.7788 0.7500 0.2169  2 Al 3.14, 4 Sn 3.20-3.47
Th 0.8816 0.2500 0.4400  3 Al 3.20-3.27, 5 Sn 3.25-3.38
Th 0.9517 0.7500 0.8823  5 Sn 3.21-3.41, 1 Al 3.24
Al 0.1281 0.2500 0.3708  3 Sn 2.78
Al 0.3719 0.7500 0.8708  3 Sn 2.78
Al 0.6281 0.2500 0.1292  3 Sn 2.78
Al 0.8719 0.7500 0.6292  3 Sn 2.78
Sn 0.0143 0.7500 0.3041  2 Al 2.78
Sn 0.1931 0.7500 0.0003  1 Al 2.78
Sn 0.3069 0.2500 0.5003  1 Al 2.78
Sn 0.4857 0.2500 0.8041  2 Al 2.78
Sn 0.5143 0.7500 0.1959  2 Al 2.78
Sn 0.6931 0.7500 0.4997  1 Al 2.78
Sn 0.8069 0.2500 0.9997  1 Al 2.78
Sn 0.9857 0.2500 0.6959  2 Al 2.78

Values from the calculation:
Its formation energy is -0.44 eV/atom. The calculation puts the density of states at the Fermi level at 20.94 states/eV/cell.

=====

Material: Th2AlSn
Method: DFT, PBE
State: relaxed

Cell lengths 6.2290, 4.3066, 8.9588 Å; angles 90.00, 108.29, 90.00 degrees
Closest atoms and distances in Å follow each position.
Sites, in units of the cell vectors:
Th 0.2008 0.2500 0.4239  3 Al 3.17-3.45, 4 Sn 3.26-3.38
Th 0.2782 0.7500 0.0662  4 Al 3.18-3.51, 3 Sn 3.27-3.41
Th 0.7218 0.2500 0.9338  4 Al 3.18-3.51, 3 Sn 3.27-3.41
Th 0.7992 0.7500 0.5761  3 Al 3.17-3.45, 4 Sn 3.26-3.38
Al 0.1289 0.2500 0.7907  2 Sn 2.84, 3 Th 3.17-3.18
Al 0.8711 0.7500 0.2093  2 Sn 2.84, 3 Th 3.17-3.18
Sn 0.3704 0.7500 0.7108  2 Al 2.84
Sn 0.6296 0.2500 0.2892  2 Al 2.84

Values from the calculation:
The calculation puts the polymorph energy (0 for the lowest one) at 0.0 kJ/mol of atoms. Its formation energy is -0.46 eV/atom. The calculation puts the density of states at the Fermi level at 6.91 states/eV/cell.